1.
DFT (PBE) results for a relaxed structure of SmZn9Cu2.

```
SmZn9Cu2
1.0
8.5263 0.0000 0.0000
-4.2631 7.3840 0.0000
0.0000 0.0000 3.0430
Sm Zn Cu
1 9 2
direct
0.0000 0.0000 0.0000 Sm
0.0000 0.5000 0.0000 Zn
0.1887 0.3773 0.5000 Zn
0.1887 0.8113 0.5000 Zn
0.3773 0.1887 0.5000 Zn
0.5000 0.0000 0.0000 Zn
0.5000 0.5000 0.0000 Zn
0.6227 0.8113 0.5000 Zn
0.8113 0.1887 0.5000 Zn
0.8113 0.6227 0.5000 Zn
0.3333 0.6667 0.0000 Cu
0.6667 0.3333 0.0000 Cu
```

Results
The formation enthalpy at 0 K comes out at -117 meV/atom. The total moment comes out at 0.00 μB per cell. As for the space group: P6/mmm, No. 191.

2.
DFT (PBE) results for a relaxed structure of SmZnCu2.

```
SmZnCu2
1.0
3.2247 0.0000 0.0000
0.0000 3.2247 0.0000
0.0000 0.0000 6.7067
Sm Zn Cu
1 1 2
direct
0.0000 0.0000 0.0000 Sm
0.0000 0.0000 0.5000 Zn
0.5000 0.5000 0.3069 Cu
0.5000 0.5000 0.6931 Cu
```

Results
The formation enthalpy at 0 K comes out at -79 meV/atom. The total moment comes out at 0.00 μB per cell. As for the space group: P4/mmm, No. 123.

3.
DFT (PBE) results for a relaxed structure of Sm3Zn9Cu2.

```
Sm3Zn9Cu2
1.0
-2.1951 4.4570 6.4944
2.1951 -4.4570 6.4944
2.1951 4.4570 -6.4944
Sm Zn Cu
3 9 2
direct
0.0000 0.0000 0.0000 Sm
0.3006 0.3006 0.0000 Sm
0.6994 0.6994 0.0000 Sm
0.0172 0.6593 0.3578 Zn
0.1516 0.8683 0.2833 Zn
0.3015 0.6593 0.6422 Zn
0.4151 0.1317 0.2833 Zn
0.5000 0.0000 0.5000 Zn
0.5849 0.8683 0.7167 Zn
0.6985 0.3407 0.3578 Zn
0.8484 0.1317 0.7167 Zn
0.9828 0.3407 0.6422 Zn
0.3125 0.5000 0.8125 Cu
0.6875 0.5000 0.1875 Cu
```

Results
The formation enthalpy at 0 K comes out at -300 meV/atom. The total moment comes out at 0.00 μB per cell. As for the space group: Immm, No. 71.

Q: Which of these has the highest formation enthalpy at 0 K?
A: SmZnCu2